FeSe2: optimized geometry, PBE.

Results
DFT total energy   -0.2009 Ha/atom
Symmetry   Pa-3 (205)
V   193.0 Å³ per cell

Cell lengths 5.7785, 5.7785, 5.7785 Å; angles 90.00, 90.00, 90.00 degrees
Last column: nearest neighbours and their distance in Å.
Element x y z (fractional)
Fe (0.0000, 0.0000, 0.0000)  6 Se 2.40
Fe (0.0000, 0.5000, 0.5000)  6 Se 2.40
Fe (0.5000, 0.0000, 0.5000)  6 Se 2.40
Fe (0.5000, 0.5000, 0.0000)  6 Se 2.40
Se (0.1254, 0.6254, 0.8746)  3 Fe 2.40, 1 Se 2.51
Se (0.1254, 0.8746, 0.3746)  3 Fe 2.40, 1 Se 2.51
Se (0.3746, 0.1254, 0.8746)  3 Fe 2.40, 1 Se 2.51
Se (0.3746, 0.3746, 0.3746)  3 Fe 2.40, 1 Se 2.51
Se (0.6254, 0.6254, 0.6254)  3 Fe 2.40, 1 Se 2.51
Se (0.6254, 0.8746, 0.1254)  3 Fe 2.40, 1 Se 2.51
Se (0.8746, 0.1254, 0.6254)  3 Fe 2.40, 1 Se 2.51
Se (0.8746, 0.3746, 0.1254)  3 Fe 2.40, 1 Se 2.51


FeSe2: optimized geometry, PBE.

Results
DFT total energy   -0.1933 Ha/atom
Symmetry   Cm (8)
V   272.9 Å³ per cell

Cell lengths 13.4873, 3.2898, 6.8946 Å; angles 90.00, 116.88, 90.00 degrees
Last column: nearest neighbours and their distance in Å.
Element x y z (fractional)
Fe (0.0000, 0.0000, 0.0000)  4 Se 2.24-2.28
Fe (0.1211, 0.5000, 0.3634)  6 Se 2.38-2.42
Fe (0.5000, 0.5000, 0.0000)  4 Se 2.24-2.28
Fe (0.6211, 0.0000, 0.3634)  6 Se 2.38-2.42
Se (0.1855, 0.0000, 0.1894)  3 Fe 2.24-2.42
Se (0.2043, 0.0000, 0.6392)  2 Fe 2.38, 1 Se 2.65
Se (0.4198, 0.0000, 0.7475)  2 Fe 2.28
Se (0.4791, 0.5000, 0.3042)  3 Fe 2.24-2.42
Se (0.6855, 0.5000, 0.1894)  3 Fe 2.24-2.42
Se (0.7043, 0.5000, 0.6392)  2 Fe 2.38, 1 Se 2.65
Se (0.9198, 0.5000, 0.7475)  2 Fe 2.28
Se (0.9791, 0.0000, 0.3042)  3 Fe 2.24-2.42


Fe3Se2: optimized geometry, PBE.

Results
DFT total energy   -0.2298 Ha/atom
Symmetry   R-3m (166)
V   231.6 Å³ per cell

Cell lengths 3.2183, 3.2183, 25.8258 Å; angles 90.00, 90.00, 120.00 degrees
Last column: nearest neighbours and their distance in Å.
Element x y z (fractional)
Fe (0.0000, 0.0000, 0.0000)  6 Se 2.51
Fe (0.0000, 0.0000, 0.1971)  3 Fe 2.43, 3 Se 2.60
Fe (0.0000, 0.0000, 0.8029)  3 Fe 2.43, 3 Se 2.60
Fe (0.3333, 0.6667, 0.4695)  3 Fe 2.43, 3 Se 2.60
Fe (0.3333, 0.6667, 0.6667)  6 Se 2.51
Fe (0.3333, 0.6667, 0.8638)  3 Fe 2.43, 3 Se 2.60
Fe (0.6667, 0.3333, 0.1362)  3 Fe 2.43, 3 Se 2.60
Fe (0.6667, 0.3333, 0.3333)  6 Se 2.51
Fe (0.6667, 0.3333, 0.5305)  3 Fe 2.43, 3 Se 2.60
Se (0.0000, 0.0000, 0.3989)  6 Fe 2.51-2.60
Se (0.0000, 0.0000, 0.6011)  6 Fe 2.51-2.60
Se (0.3333, 0.6667, 0.0656)  6 Fe 2.51-2.60
Se (0.3333, 0.6667, 0.2678)  6 Fe 2.51-2.60
Se (0.6667, 0.3333, 0.7322)  6 Fe 2.51-2.60
Se (0.6667, 0.3333, 0.9344)  6 Fe 2.51-2.60


FeSe5: optimized geometry, PBE.

Results
DFT total energy   -0.1445 Ha/atom
Symmetry   P4/mmm (123)
V   126.2 Å³ per cell

Cell lengths 3.0651, 3.0651, 13.4341 Å; angles 90.00, 90.00, 90.00 degrees
Last column: nearest neighbours and their distance in Å.
Element x y z (fractional)
Fe (0.0000, 0.0000, 0.0000)  8 Se 2.63
Se (0.0000, 0.0000, 0.3608)  8 Se 2.86-3.07
Se (0.0000, 0.0000, 0.6392)  8 Se 2.86-3.07
Se (0.5000, 0.5000, 0.1111)  4 Fe 2.63
Se (0.5000, 0.5000, 0.5000)  12 Se 2.86-3.07
Se (0.5000, 0.5000, 0.8889)  4 Fe 2.63


FeSe4: optimized geometry, PBE.

Results
DFT total energy   -0.1488 Ha/atom
Symmetry   Pm-3m (221)
V   104.1 Å³ per cell

Cell lengths 4.7039, 4.7039, 4.7039 Å; angles 90.00, 90.00, 90.00 degrees
Last column: nearest neighbours and their distance in Å.
Element x y z (fractional)
Fe (0.0000, 0.0000, 0.0000)  6 Se 2.35
Se (0.0000, 0.0000, 0.5000)  2 Fe 2.35
Se (0.0000, 0.5000, 0.0000)  2 Fe 2.35
Se (0.5000, 0.0000, 0.0000)  2 Fe 2.35
Se (0.5000, 0.5000, 0.5000)  12 Se 3.33


Fe5Se: optimized geometry, PBE.

Results
DFT total energy   -0.2719 Ha/atom
Symmetry   Cmmm (65)
V   142.9 Å³ per cell

Cell lengths 3.6224, 10.9974, 3.5881 Å; angles 90.00, 90.00, 90.00 degrees
Last column: nearest neighbours and their distance in Å.
Element x y z (fractional)
Fe (0.0000, 0.0000, 0.0000)  4 Se 2.55, 8 Fe 2.66-2.68
Fe (0.0000, 0.1783, 0.5000)  10 Fe 2.38-2.66
Fe (0.0000, 0.3206, 0.0000)  8 Fe 2.38-2.55, 2 Se 2.67
Fe (0.0000, 0.6794, 0.0000)  8 Fe 2.38-2.55, 2 Se 2.67
Fe (0.0000, 0.8217, 0.5000)  10 Fe 2.38-2.66
Fe (0.5000, 0.1794, 0.0000)  8 Fe 2.38-2.55, 2 Se 2.67
Fe (0.5000, 0.3217, 0.5000)  10 Fe 2.38-2.66
Fe (0.5000, 0.5000, 0.0000)  4 Se 2.55, 8 Fe 2.66-2.68
Fe (0.5000, 0.6783, 0.5000)  10 Fe 2.38-2.66
Fe (0.5000, 0.8206, 0.0000)  8 Fe 2.38-2.55, 2 Se 2.67
Se (0.0000, 0.5000, 0.5000)  12 Fe 2.55-2.67
Se (0.5000, 0.0000, 0.5000)  12 Fe 2.55-2.67


FeSe2: optimized geometry, PBE.

Results
DFT total energy   -0.1950 Ha/atom
Symmetry   Cmcm (63)
V   224.1 Å³ per cell

Cell lengths 3.4865, 13.7848, 4.6628 Å; angles 90.00, 90.00, 90.00 degrees
Last column: nearest neighbours and their distance in Å.
Element x y z (fractional)
Fe (0.0000, 0.1637, 0.2500)  6 Se 2.29-2.48
Fe (0.0000, 0.8363, 0.7500)  6 Se 2.29-2.48
Fe (0.5000, 0.3363, 0.7500)  6 Se 2.29-2.48
Fe (0.5000, 0.6637, 0.2500)  6 Se 2.29-2.48
Se (0.0000, 0.2086, 0.7500)  4 Fe 2.41-2.48
Se (0.0000, 0.4438, 0.7500)  2 Fe 2.29
Se (0.0000, 0.5562, 0.2500)  2 Fe 2.29
Se (0.0000, 0.7914, 0.2500)  4 Fe 2.41-2.48
Se (0.5000, 0.0562, 0.2500)  2 Fe 2.29
Se (0.5000, 0.2914, 0.2500)  4 Fe 2.41-2.48
Se (0.5000, 0.7086, 0.7500)  4 Fe 2.41-2.48
Se (0.5000, 0.9438, 0.7500)  2 Fe 2.29


FeSe2: optimized geometry, PBE.

Results
DFT total energy   -0.1631 Ha/atom
Symmetry   P6/mmm (191)
V   56.7 Å³ per cell

Cell lengths 4.9160, 4.9160, 2.7084 Å; angles 90.00, 90.00, 120.00 degrees
Last column: nearest neighbours and their distance in Å.
Element x y z (fractional)
Fe (0.0000, 0.0000, 0.0000)  2 Fe 2.71
Se (0.3333, 0.6667, 0.5000)  5 Se 2.71-2.84
Se (0.6667, 0.3333, 0.5000)  5 Se 2.71-2.84